Sm2ErAg3Se6 after structural relaxation. Source: Alexandria, functional GGA-PBE.

Lattice parameters (Å, degrees): 4.2281 8.1459 9.0313 99.19 103.54 90.00
Positions (direct):
Sm: 0.8335 0.6758 0.6670
Sm: 0.1665 0.3242 0.3330
Er: 0.5000 0.0000 0.0000
Ag: 0.5000 0.5000 0.0000
Ag: 0.8260 0.1876 0.6519
Ag: 0.1740 0.8124 0.3481
Se: 0.3353 0.9256 0.6707
Se: 0.6639 0.5758 0.3278
Se: 0.6647 0.0744 0.3293
Se: 0.9977 0.2390 0.9954
Se: 0.0023 0.7610 0.0046
Se: 0.3361 0.4242 0.6722

Formation energy from raw total energies in eV/atom: -1.16
Total magnetic moment in Bohr magnetons per cell: 0.00
Crystal system: monoclinic